Record 1
The following is a PBE calculation of crystalline HoPdAu2 at its relaxed geometry, from Alexandria.

Lattice parameters (Å, degrees): 5.345 5.235 4.164 68.23 65.44 46.34
Element x y z (fractional)
Ho1 0.000 0.000 0.000
Pd1 0.500 0.500 0.500
Au1 0.250 0.250 0.250
Au2 0.750 0.750 0.750

Properties
For the total magnetization, the calculation gives 0.00 Bohr magnetons per cell. As for the density of states at the Fermi level: 1.4 states/eV/f.u. The formation energy comes out at -0.771 eV per atom. The volume comes out at 76.0 Å³ per cell.

***

Record 2
The following is a PBE calculation of crystalline La7Tb2Tm3 at its relaxed geometry, from Alexandria.

Lattice parameters (Å, degrees): 6.519 3.573 17.721 90.00 95.56 90.00
Element x y z (fractional)
La1 0.000 0.000 0.000
La2 0.229 0.500 0.174
La3 0.262 0.500 0.491
La4 0.278 0.000 0.833
La5 0.722 0.000 0.167
La6 0.738 0.500 0.509
La7 0.771 0.500 0.826
Tb1 0.058 0.500 0.670
Tb2 0.942 0.500 0.330
Tm1 0.460 0.000 0.339
Tm2 0.500 0.500 0.000
Tm3 0.540 0.000 0.661

Properties
For the total magnetization, the calculation gives 0.00 Bohr magnetons per cell. As for the density of states at the Fermi level: 16.3 states/eV/f.u. The formation energy comes out at 0.065 eV per atom. The volume comes out at 410.8 Å³ per cell.

***

Record 3
The following is a PBE calculation of crystalline Nd6In3Sb at its relaxed geometry, from Alexandria.

Lattice parameters (Å, degrees): 10.281 10.281 6.961 90.00 90.00 120.86
Element x y z (fractional)
Nd1 0.014 0.986 0.500
Nd2 0.089 0.551 0.983
Nd3 0.247 0.373 0.724
Nd4 0.282 0.718 0.511
Nd5 0.373 0.247 0.224
Nd6 0.449 0.911 0.983
Nd7 0.551 0.089 0.483
Nd8 0.627 0.753 0.724
Nd9 0.718 0.282 0.011
Nd10 0.753 0.627 0.224
Nd11 0.911 0.449 0.483
Nd12 0.986 0.014 0.000
In1 0.100 0.315 0.272
In2 0.315 0.100 0.772
In3 0.413 0.587 0.152
In4 0.587 0.413 0.652
In5 0.685 0.900 0.272
In6 0.900 0.685 0.772
Sb1 0.148 0.852 0.204
Sb2 0.852 0.148 0.704

Properties
For the total magnetization, the calculation gives 0.00 Bohr magnetons per cell. As for the density of states at the Fermi level: 9.0 states/eV/f.u. The volume comes out at 631.6 Å³ per cell. The calculation puts the uncorrected formation energy at -0.39 eV/atom.

***

Record 4
The following is a PBE calculation of crystalline KSr2AgRh at its relaxed geometry, from Alexandria.

Lattice parameters (Å, degrees): 6.135 6.135 5.040 90.00 90.00 90.00
Element x y z (fractional)
K1 0.000 0.000 0.000
Sr1 0.000 0.500 0.000
Sr2 0.500 0.000 0.000
Ag1 0.000 0.000 0.500
Rh1 0.500 0.500 0.500

Properties
For the total magnetization, the calculation gives 0.18 Bohr magnetons per cell. As for the density of states at the Fermi level: 5.0 states/eV/f.u. The formation energy comes out at 1.199 eV per atom. The volume comes out at 189.7 Å³ per cell.

***

Record 5
The following is a PBE calculation of crystalline CaPuSn4 at its relaxed geometry, from Alexandria.

Lattice parameters (Å, degrees): 6.202 6.202 6.202 60.00 60.00 60.00
Element x y z (fractional)
Ca1 0.000 0.000 0.000
Pu1 0.750 0.750 0.750
Sn1 0.375 0.375 0.375
Sn2 0.375 0.375 0.874
Sn3 0.375 0.874 0.375
Sn4 0.874 0.375 0.375

Properties
For the total magnetization, the calculation gives 5.99 Bohr magnetons per cell. As for the density of states at the Fermi level: 16.3 states/eV/f.u. The formation energy comes out at -0.261 eV per atom. The volume comes out at 168.7 Å³ per cell.

***

Record 6
The following is a PBE calculation of crystalline Pr2Ho4TmTh at its relaxed geometry, from Alexandria.

Lattice parameters (Å, degrees): 9.519 9.519 9.519 138.15 103.38 91.36
Element x y z (fractional)
Pr1 0.000 0.000 0.000
Pr2 0.500 0.000 0.000
Pr3 0.500 0.000 0.500
Pr4 0.500 0.500 0.500
Ho1 0.244 0.251 0.507
Ho2 0.244 0.736 0.993
Ho3 0.244 0.749 0.495
Ho4 0.245 0.251 0.995
Ho5 0.755 0.749 0.005
Ho6 0.756 0.251 0.505
Ho7 0.756 0.264 0.007
Ho8 0.756 0.749 0.493
Tm1 0.000 0.000 0.500
Tm2 0.000 0.500 0.000
Th1 0.000 0.500 0.500
Th2 0.500 0.500 0.000

Properties
For the total magnetization, the calculation gives 0.03 Bohr magnetons per cell. As for the density of states at the Fermi level: 17.9 states/eV/f.u. The formation energy comes out at 0.425 eV per atom. The volume comes out at 533.6 Å³ per cell.

***

Number 1: final energy -19.41 eV/cell. Number 2: final energy -56.39 eV/cell. Number 3: final energy -89.70 eV/cell. Number 4: final energy -8.67 eV/cell. Number 5: final energy -33.91 eV/cell. Number 6: final energy -72.72 eV/cell.